[1]
This record from the Open Quantum Materials Database describes a geometry-optimized GaGeOs structure. The functional is PBE.

Results
Its crystal system is cubic. For the relative energy among the computed polymorphs, the calculation gives 382.6 meV per atom.

The structure in CIF format:
```
data_GaGeOs
_cell_length_a 5.884
_cell_length_b 5.884
_cell_length_c 5.884
_cell_angle_alpha 90.00
_cell_angle_beta 90.00
_cell_angle_gamma 90.00
_symmetry_space_group_name_H-M 'F -4 3 m'
_symmetry_Int_Tables_number 216
_symmetry_space_group_name_Hall 'F -4 2 3'
loop_
_atom_site_label
_atom_site_type_symbol
_atom_site_fract_x
_atom_site_fract_y
_atom_site_fract_z
Ga1 Ga 0.000 0.000 0.000
Ge1 Ge 0.250 0.250 0.250
Os1 Os 0.000 0.000 0.500
```

---

[2]
This record from the Open Quantum Materials Database describes a geometry-optimized KTb structure. The functional is PBE.

Results
Its crystal system is hexagonal. The total energy is -0.08686 Ha/atom.

The structure in CIF format:
```
data_KTb
_cell_length_a 3.6507
_cell_length_b 3.6507
_cell_length_c 7.1586
_cell_angle_alpha 90.00
_cell_angle_beta 90.00
_cell_angle_gamma 120.00
_symmetry_space_group_name_H-M 'P -6 m 2'
_symmetry_Int_Tables_number 187
_symmetry_space_group_name_Hall 'P -6 2'
loop_
_atom_site_label
_atom_site_type_symbol
_atom_site_fract_x
_atom_site_fract_y
_atom_site_fract_z
K1 K 0.0000 0.0000 0.0000
Tb1 Tb 0.6667 0.3333 0.5000
```

---

[3]
This record from the Open Quantum Materials Database describes a geometry-optimized TbZrSb structure. The functional is PBE.

Results
Its crystal system is tetragonal. The total energy is -0.23179 Ha/atom.

The structure in CIF format:
```
data_TbZrSb
_cell_length_a 4.232
_cell_length_b 4.232
_cell_length_c 16.607
_cell_angle_alpha 90.00
_cell_angle_beta 90.00
_cell_angle_gamma 90.00
_symmetry_space_group_name_H-M 'I 4/m m m'
_symmetry_Int_Tables_number 139
_symmetry_space_group_name_Hall '-I 4 2'
loop_
_atom_site_label
_atom_site_type_symbol
_atom_site_fract_x
_atom_site_fract_y
_atom_site_fract_z
Tb1 Tb 0.000 0.500 0.000
Zr1 Zr 0.000 0.000 0.180
Sb1 Sb 0.000 0.000 0.356
```

---

[4]
This record from the Open Quantum Materials Database describes a geometry-optimized BeNiBAu structure. The functional is PBE.

Results
Its crystal system is cubic. For the relative energy among the computed polymorphs, the calculation gives 0.0 meV per atom.

The structure in CIF format:
```
data_BeNiBAu
_cell_length_a 5.639
_cell_length_b 5.639
_cell_length_c 5.639
_cell_angle_alpha 90.00
_cell_angle_beta 90.00
_cell_angle_gamma 90.00
_symmetry_space_group_name_H-M 'F -4 3 m'
_symmetry_Int_Tables_number 216
_symmetry_space_group_name_Hall 'F -4 2 3'
loop_
_atom_site_label
_atom_site_type_symbol
_atom_site_fract_x
_atom_site_fract_y
_atom_site_fract_z
Be1 Be 0.000 0.000 0.000
Ni1 Ni 0.000 0.000 0.500
B1 B 0.250 0.250 0.250
Au1 Au 0.250 0.250 0.750
```

---

[5]
This record from the Open Quantum Materials Database describes a geometry-optimized Sc3B2Au structure. The functional is PBE.

Results
Its crystal system is hexagonal. The total energy is -0.22446 Ha/atom.

The structure in CIF format:
```
data_Sc3B2Au
_cell_length_a 3.4011
_cell_length_b 3.4011
_cell_length_c 20.3741
_cell_angle_alpha 90.00
_cell_angle_beta 90.00
_cell_angle_gamma 120.00
_symmetry_space_group_name_H-M 'P 63/m m c'
_symmetry_Int_Tables_number 194
_symmetry_space_group_name_Hall '-P 6c 2c'
loop_
_atom_site_label
_atom_site_type_symbol
_atom_site_fract_x
_atom_site_fract_y
_atom_site_fract_z
Sc1 Sc 0.0000 0.0000 0.0000
Sc2 Sc 0.3333 0.6667 0.1431
B1 B 0.3333 0.6667 0.5769
Au1 Au 0.0000 0.0000 0.2500
```

---

[6]
This record from the Open Quantum Materials Database describes a geometry-optimized LuMgZnNi structure. The functional is PBE.

Results
Its crystal system is cubic. For the relative energy among the computed polymorphs, the calculation gives 0.0 meV per atom.

The structure in CIF format:
```
data_LuMgZnNi
_cell_length_a 6.518
_cell_length_b 6.518
_cell_length_c 6.518
_cell_angle_alpha 90.00
_cell_angle_beta 90.00
_cell_angle_gamma 90.00
_symmetry_space_group_name_H-M 'F -4 3 m'
_symmetry_Int_Tables_number 216
_symmetry_space_group_name_Hall 'F -4 2 3'
loop_
_atom_site_label
_atom_site_type_symbol
_atom_site_fract_x
_atom_site_fract_y
_atom_site_fract_z
Lu1 Lu 0.000 0.000 0.000
Mg1 Mg 0.250 0.250 0.250
Zn1 Zn 0.000 0.000 0.500
Ni1 Ni 0.250 0.250 0.750
```

---

[7]
This record from the Open Quantum Materials Database describes a geometry-optimized TmMgNp structure. The functional is PBE.

Results
Its crystal system is cubic. For the relative energy among the computed polymorphs, the calculation gives 0.0 meV per atom.

The structure in CIF format:
```
data_TmMgNp
_cell_length_a 7.288
_cell_length_b 7.288
_cell_length_c 7.288
_cell_angle_alpha 90.00
_cell_angle_beta 90.00
_cell_angle_gamma 90.00
_symmetry_space_group_name_H-M 'F -4 3 m'
_symmetry_Int_Tables_number 216
_symmetry_space_group_name_Hall 'F -4 2 3'
loop_
_atom_site_label
_atom_site_type_symbol
_atom_site_fract_x
_atom_site_fract_y
_atom_site_fract_z
Tm1 Tm 0.000 0.000 0.000
Mg1 Mg 0.250 0.250 0.750
Np1 Np 0.000 0.000 0.500
```

---

[8]
This record from the Open Quantum Materials Database describes a geometry-optimized Dy3Lu4Fe2Te2 structure. The functional is PBE.

Results
Its crystal system is orthorhombic. The total energy is -0.20141 Ha/atom.

The structure in CIF format:
```
data_Dy3Lu4Fe2Te2
_cell_length_a 3.831
_cell_length_b 15.478
_cell_length_c 9.286
_cell_angle_alpha 90.00
_cell_angle_beta 90.00
_cell_angle_gamma 90.00
_symmetry_space_group_name_H-M 'I m m 2'
_symmetry_Int_Tables_number 44
_symmetry_space_group_name_Hall 'I 2 -2'
loop_
_atom_site_label
_atom_site_type_symbol
_atom_site_fract_x
_atom_site_fract_y
_atom_site_fract_z
Dy1 Dy 0.000 0.000 0.000
Dy2 Dy 0.000 0.137 0.419
Lu1 Lu 0.000 0.312 0.627
Lu2 Lu 0.000 0.349 0.270
Fe1 Fe 0.000 0.234 0.933
Te1 Te 0.000 0.000 0.667
Te2 Te 0.000 0.500 0.765
```

---

Number 8 is which compound? Dy3Lu4Fe2Te2